The following is a DFT calculation (PBE with a Hubbard U) of a relaxed LiCoAgF6 crystal.

Fermi-level density of states   8.6 states/eV/cell
Size of the total moment   2.09 μB per cell
Total energy   -75.3 eV for the cell shown

a = 5.109 Å, b = 5.109 Å, c = 9.528 Å
α = 90.00°, β = 90.00°, γ = 120.00°
Each line ends with the local moment (μB).
Fractional coordinates of all 18 atoms:
F  0.026  0.377  0.640  0.06
Co  0.333  0.667  0.750  0.19
Li  0.333  0.667  0.250  0.00
Ag  0.000  0.000  0.000  0.49
F  0.649  0.026  0.360  0.06
F  0.351  0.974  0.640  0.06
Li  0.667  0.333  0.750  0.00
F  0.026  0.649  0.860  0.06
F  0.377  0.026  0.140  0.06
F  0.623  0.649  0.640  0.06
Co  0.667  0.333  0.250  0.19
F  0.649  0.623  0.140  0.06
F  0.377  0.351  0.360  0.06
F  0.351  0.377  0.860  0.06
Ag  0.000  0.000  0.500  0.49
F  0.974  0.351  0.140  0.06
F  0.623  0.974  0.860  0.06
F  0.974  0.623  0.360  0.06